This record from Alexandria describes an optimized crystal structure of GaTcNi2. The functional is PBE-GGA.

ΔE_f (meV/atom): 290
Space group: I-42d, No. 122
Size of the total moment (μB/f.u.): 0.00
DOS at the Fermi energy (states/eV/atom): 1.20
Uncorrected energy (eV per atom): -5.949

Unit cell a=3.5699 b=3.5699 c=17.2343 alpha=90.00 beta=90.00 gamma=90.00
Fractional positions:
Ga1 0.0000 0.0000 0.0000
Ga2 0.0000 0.5000 0.2500
Ga3 0.5000 0.0000 0.7500
Ga4 0.5000 0.5000 0.5000
Tc1 0.0000 0.0000 0.5000
Tc2 0.0000 0.5000 0.7500
Tc3 0.5000 0.0000 0.2500
Tc4 0.5000 0.5000 0.0000
Ni1 0.2479 0.2500 0.1250
Ni2 0.2500 0.7479 0.3750
Ni3 0.2500 0.7521 0.8750
Ni4 0.2521 0.2500 0.6250
Ni5 0.7479 0.7500 0.6250
Ni6 0.7500 0.2479 0.8750
Ni7 0.7500 0.2521 0.3750
Ni8 0.7521 0.7500 0.1250

This record from Alexandria describes an optimized crystal structure of GaTcNi. The functional is PBE-GGA.

ΔE_f (meV/atom): -131
Energy relative to the lowest polymorph listed for this composition (eV per formula unit): 0.30
Space group: Cm, No. 8
Size of the total moment (μB/f.u.): 0.00
DOS at the Fermi energy (states/eV/atom): 0.81
Uncorrected energy (eV per atom): -6.522

Unit cell a=13.2948 b=2.7857 c=4.3012 alpha=90.00 beta=91.84 gamma=90.00
Fractional positions:
Ga1 0.0000 0.0000 0.0000
Ga2 0.1292 0.0000 0.4838
Ga3 0.5000 0.5000 0.0000
Ga4 0.6292 0.5000 0.4838
Tc1 0.3277 0.0000 0.9906
Tc2 0.4428 0.0000 0.5001
Tc3 0.8277 0.5000 0.9906
Tc4 0.9428 0.5000 0.5001
Ni1 0.1624 0.5000 0.9747
Ni2 0.2798 0.5000 0.4859
Ni3 0.6624 0.0000 0.9747
Ni4 0.7798 0.0000 0.4859